# 1
The following is a DFT calculation (PBE-GGA) of a relaxed structure of ZrTe.

Computed properties:
- calculated total energy (eV/f.u.) = -13.06

Unit cell a=4.871 b=11.200 c=5.890 alpha=90.00 beta=90.00 gamma=90.00
Atoms (fractional coordinates):
Zr1 0.000 0.038 0.000
Zr2 0.000 0.258 0.465
Zr3 0.000 0.742 0.965
Zr4 0.000 0.962 0.500
Zr5 0.500 0.175 0.777
Zr6 0.500 0.825 0.277
Te1 0.000 0.302 0.964
Te2 0.000 0.698 0.464
Te3 0.500 0.089 0.298
Te4 0.500 0.401 0.486
Te5 0.500 0.599 0.986
Te6 0.500 0.911 0.798

# 2
The following is a DFT calculation (PBE-GGA) of a relaxed structure of Sm3Fe2C2N3.

Computed properties:
- calculated total energy (eV/f.u.) = -82.29

Unit cell a=10.160 b=10.160 c=10.160 alpha=160.03 beta=160.03 gamma=28.39
Atoms (fractional coordinates):
Sm1 0.000 0.000 0.000
Sm2 0.372 0.372 0.000
Sm3 0.628 0.628 0.000
Fe1 0.250 0.750 0.500
Fe2 0.750 0.250 0.500
C1 0.197 0.197 0.000
C2 0.803 0.803 0.000
N1 0.123 0.123 0.000
N2 0.500 0.500 0.000
N3 0.877 0.877 0.000

# 3
The following is a DFT calculation (PBE-GGA) of a relaxed structure of Dy6TmNi2Te2.

Computed properties:
- calculated total energy (eV/f.u.) = -56.85

Unit cell a=9.360 b=9.360 c=9.360 alpha=156.32 beta=66.55 gamma=118.82
Atoms (fractional coordinates):
Dy1 0.113 0.798 0.316
Dy2 0.132 0.000 0.132
Dy3 0.482 0.798 0.684
Dy4 0.502 0.150 0.353
Dy5 0.797 0.150 0.647
Dy6 0.868 0.000 0.868
Tm1 0.419 0.419 0.000
Ni1 0.251 0.490 0.762
Ni2 0.728 0.490 0.238
Te1 0.153 0.653 0.500
Te2 0.754 0.754 0.000

# 4
The following is a DFT calculation (PBE-GGA) of a relaxed structure of Er2Tl2O5.

Computed properties:
- calculated total energy (eV/f.u.) = -49.89

Unit cell a=4.310 b=4.310 c=7.010 alpha=90.00 beta=90.00 gamma=90.00
Atoms (fractional coordinates):
Er1 0.000 0.000 0.000
Er2 0.000 0.000 0.500
Tl1 0.500 0.500 0.192
Tl2 0.500 0.500 0.808
O1 0.000 0.500 0.247
O2 0.000 0.500 0.753
O3 0.500 0.000 0.247
O4 0.500 0.000 0.753
O5 0.500 0.500 0.500

What is the calculated total energy in the second record?
-82.29 eV/f.u.

Repeat the third record exactly.
The following is a DFT calculation (PBE-GGA) of a relaxed structure of Dy6TmNi2Te2.

Computed properties:
- calculated total energy (eV/f.u.) = -56.85

Unit cell a=9.360 b=9.360 c=9.360 alpha=156.32 beta=66.55 gamma=118.82
Atoms (fractional coordinates):
Dy1 0.113 0.798 0.316
Dy2 0.132 0.000 0.132
Dy3 0.482 0.798 0.684
Dy4 0.502 0.150 0.353
Dy5 0.797 0.150 0.647
Dy6 0.868 0.000 0.868
Tm1 0.419 0.419 0.000
Ni1 0.251 0.490 0.762
Ni2 0.728 0.490 0.238
Te1 0.153 0.653 0.500
Te2 0.754 0.754 0.000

Which value of calculated total energy does entry 4 give?
-49.89 eV/f.u.

What did the third record say?
The following is a DFT calculation (PBE-GGA) of a relaxed structure of Dy6TmNi2Te2.

Computed properties:
- calculated total energy (eV/f.u.) = -56.85

Unit cell a=9.360 b=9.360 c=9.360 alpha=156.32 beta=66.55 gamma=118.82
Atoms (fractional coordinates):
Dy1 0.113 0.798 0.316
Dy2 0.132 0.000 0.132
Dy3 0.482 0.798 0.684
Dy4 0.502 0.150 0.353
Dy5 0.797 0.150 0.647
Dy6 0.868 0.000 0.868
Tm1 0.419 0.419 0.000
Ni1 0.251 0.490 0.762
Ni2 0.728 0.490 0.238
Te1 0.153 0.653 0.500
Te2 0.754 0.754 0.000